The following is a PBE-GGA calculation of Rb2Co2Sb after structural relaxation, from Alexandria via LeMat-Bulk.

Cell and atoms, written as POSCAR:
```
Rb2Co2Sb
1.0
6.785 0.000 0.000
0.000 6.785 0.000
0.000 0.000 5.820
Co Sb Rb
4 2 4
Direct
0.116 0.384 0.000 Co
0.384 0.884 0.000 Co
0.884 0.616 0.000 Co
0.616 0.116 0.000 Co
0.500 0.500 0.000 Sb
0.000 0.000 0.000 Sb
0.686 0.814 0.500 Rb
0.186 0.686 0.500 Rb
0.314 0.186 0.500 Rb
0.814 0.314 0.500 Rb
```

raw total energy = -35.9 eV/cell
raw formation energy = 0.468 eV/atom
polymorph energy (0 for the lowest one) = 0.0000 eV/atom